Record 1
DFT (PBE) results for an optimized crystal structure of GaCo2SeN.

Unit cell a=4.6844 b=4.6844 c=3.5308 alpha=90.00 beta=90.00 gamma=90.00
Fractional coordinates of all 5 atoms:
1 Ga 0.0000 0.0000 0.0000
2 Co 0.0000 0.5000 0.0000
3 Co 0.5000 0.0000 0.0000
4 Se 0.5000 0.5000 0.5000
5 N 0.0000 0.0000 0.5000

Results
raw formation energy: 1.176 eV/atom
symmetry: P4/mmm, No. 123

---

Record 2
DFT (PBE) results for an optimized crystal structure of GaCoSeN2.

Unit cell a=3.6620 b=3.6620 c=5.2391 alpha=90.00 beta=90.00 gamma=90.00
Fractional coordinates of all 5 atoms:
1 Ga 0.0000 0.0000 0.0000
2 Co 0.5000 0.5000 0.5000
3 Se 0.5000 0.5000 0.0000
4 N 0.0000 0.5000 0.5000
5 N 0.5000 0.0000 0.5000

Results
raw formation energy: 0.878 eV/atom
symmetry: P4/mmm, No. 123